# LiGaRe2Au PBE-GGA optimized geometry
# N(E_F): 1.46 states/eV/atom
# Calculated formation energy: 1623 meV per atom
data_LiGaRe2Au
_chemical_formula_sum 'Li1 Ga1 Re2 Au1'
_cell_length_a 4.617
_cell_length_b 4.617
_cell_length_c 4.780
_cell_angle_alpha 90.00
_cell_angle_beta 90.00
_cell_angle_gamma 90.00
_symmetry_space_group_name_H-M 'P 4/m m m'
_symmetry_Int_Tables_number 123
_symmetry_space_group_name_Hall '-P 4 2'
loop_
_atom_site_label
_atom_site_fract_x
_atom_site_fract_y
_atom_site_fract_z
Li1 0.000 0.000 0.000
Ga1 0.500 0.500 0.500
Re1 0.000 0.500 0.500
Au1 0.500 0.500 0.000